{
  "formula": "Pm6HgRu2",
  "functional": "GGA-PBE",
  "state": "optimized geometry",
  "lattice": [[5.090, -2.630, 0.000], [5.090, 2.630, 0.000], [-1.723, 0.000, 9.094]],
  "species": ["Pm", "Pm", "Pm", "Pm", "Pm", "Pm", "Hg", "Ru", "Ru"],
  "frac_coords": [[0.040, 0.040, 0.344], [0.290, 0.290, 0.662], [0.341, 0.341, 0.114], [0.659, 0.659, 0.886], [0.710, 0.710, 0.338], [0.960, 0.960, 0.656], [0.000, 0.000, 0.000], [0.387, 0.387, 0.401], [0.613, 0.613, 0.599]],
  "crystal_system": "monoclinic",
  "spacegroup": "C2/m (12)",
  "polymorph_energy_ev_per_fu": 0.559,
  "ef_ev_per_atom": -0.2191
}

{
  "formula": "Sr2Li5Ag4",
  "functional": "GGA-PBE",
  "state": "optimized geometry",
  "lattice": [[6.834, -2.811, 0.000], [6.834, 2.811, 0.000], [-5.103, 0.000, 7.049]],
  "species": ["Sr", "Sr", "Li", "Li", "Li", "Li", "Li", "Ag", "Ag", "Ag", "Ag"],
  "frac_coords": [[0.214, 0.214, 0.272], [0.786, 0.786, 0.728], [0.204, 0.704, 0.262], [0.296, 0.796, 0.738], [0.500, 0.500, 0.000], [0.704, 0.204, 0.262], [0.796, 0.296, 0.738], [0.126, 0.126, 0.557], [0.278, 0.278, 0.956], [0.722, 0.722, 0.044], [0.874, 0.874, 0.443]],
  "crystal_system": "monoclinic",
  "spacegroup": "C2/m (12)",
  "polymorph_energy_ev_per_fu": 0.234,
  "ef_ev_per_atom": -0.1506
}

{
  "formula": "SiTcS2N",
  "functional": "GGA-PBE",
  "state": "optimized geometry",
  "lattice": [[4.810, 0.000, 0.000], [0.000, 4.810, 0.000], [0.000, 0.000, 3.696]],
  "species": ["Si", "Tc", "S", "S", "N"],
  "frac_coords": [[0.000, 0.000, 0.000], [0.500, 0.500, 0.500], [0.000, 0.500, 0.500], [0.500, 0.000, 0.500], [0.500, 0.500, 0.000]],
  "crystal_system": "tetragonal",
  "spacegroup": "P4/mmm (123)",
  "polymorph_energy_ev_per_fu": 0.000,
  "formation_energy_uncorrected_ev_per_atom": 0.47
}

{
  "formula": "SrHgPb2",
  "functional": "GGA-PBE",
  "state": "optimized geometry",
  "lattice": [[7.039, 0.000, 0.000], [0.000, 9.497, 0.000], [0.000, 0.000, 3.730]],
  "species": ["Sr", "Sr", "Hg", "Hg", "Pb", "Pb", "Pb", "Pb"],
  "frac_coords": [[0.000, 0.000, 0.000], [0.500, 0.500, 0.000], [0.000, 0.500, 0.000], [0.500, 0.000, 0.000], [0.250, 0.250, 0.500], [0.250, 0.750, 0.500], [0.750, 0.250, 0.500], [0.750, 0.750, 0.500]],
  "crystal_system": "orthorhombic",
  "spacegroup": "Cmmm (65)",
  "ef_ev_per_atom": -0.2450
}